5
Lattice="-4.204 -3.104 0.002 2.876 -3.894 1.454 -0.891 1.211 5.005" Properties=species:S:1:pos:R:3 comment="NaCr2GeF (PBE with a Hubbard U, optimized geometry)" sg=P4/mmm n_ef_per_ev_cell=2.9 crystal_system=tetragonal energy_ev_per_atom=-3.6719 magnetic_moment_mub_per_atom=1.909 pbc="T T T"
Cr -0.446 0.605 2.502
Cr -2.102 -1.552 0.001
Ge 1.438 -1.947 0.727
F -1.110 -2.894 3.231
Na 0.000 0.000 0.000

8
Lattice="-0.940 -4.612 1.668 1.826 1.246 4.477 -4.560 -0.086 4.669" Properties=species:S:1:pos:R:3 comment="Co2AgO (PBE with a Hubbard U, optimized geometry)" sg=I4_1/amd n_ef_per_ev_cell=2.6 crystal_system=tetragonal energy_ev_per_atom=-4.3901 magnetic_moment_mub_per_atom=1.028 pbc="T T T"
Co -1.264 -1.595 2.352
Co -0.351 -0.972 4.591
Co -2.631 -1.015 6.925
Co -3.101 -3.321 7.759
O 0.443 -1.683 3.072
O -1.145 -0.261 6.109
Ag 0.000 0.000 0.000
Ag -2.528 -3.190 4.704